(1)
# LaBeH (PBE, relaxed)
# Crystal system: monoclinic
# Energy: -0.1527 Ha/atom
data_LaBeH
_chemical_formula_sum 'La2 Be2 H2'
_symmetry_space_group_name_H-M 'P 1 m 1'
_symmetry_Int_Tables_number 6
_cell_length_a 4.381
_cell_length_b 4.262
_cell_length_c 5.481
_cell_angle_alpha 90.00
_cell_angle_beta 105.76
_cell_angle_gamma 90.00
loop_
_symmetry_equiv_pos_as_xyz
'x,y,z'
'x,-y,z'
loop_
_atom_site_label
_atom_site_fract_x
_atom_site_fract_y
_atom_site_fract_z
_atom_site_occupancy
La1 0.000 0.000 0.000 1
La2 0.278 0.500 0.575 1
Be1 0.628 0.500 0.206 1
Be2 0.673 0.000 0.403 1
H1 0.534 0.000 0.627 1
H2 0.931 0.500 0.134 1

---

(2)
# LaBe3H9 (PBE, relaxed)
# Crystal system: orthorhombic
# Energy: -0.1375 Ha/atom
data_LaBe3H9
_chemical_formula_sum 'La4 Be12 H36'
_symmetry_space_group_name_H-M 'C 2 2 21'
_symmetry_Int_Tables_number 20
_cell_length_a 7.806
_cell_length_b 10.163
_cell_length_c 6.809
_cell_angle_alpha 90.00
_cell_angle_beta 90.00
_cell_angle_gamma 90.00
loop_
_symmetry_equiv_pos_as_xyz
'x,y,z'
'-x,-y,z+1/2'
'x,-y,-z'
'-x,y,-z+1/2'
'x+1/2,y+1/2,z'
'-x+1/2,-y+1/2,z+1/2'
'x+1/2,-y+1/2,-z'
'-x+1/2,y+1/2,-z+1/2'
loop_
_atom_site_label
_atom_site_fract_x
_atom_site_fract_y
_atom_site_fract_z
_atom_site_occupancy
La1 0.162 0.000 0.000 1
Be1 0.027 0.335 0.062 1
Be2 0.239 0.000 0.500 1
H1 0.000 0.404 0.250 1
H2 0.057 0.199 0.075 1
H3 0.116 0.022 0.656 1
H4 0.118 0.359 0.555 1
H5 0.173 0.383 0.952 1